This record from Alexandria describes PrTh2ReN5 after structural relaxation. The functional is PBE.

## Properties
* energy relative to the elements, uncorrected: -1089 meV/atom
* size of the total moment: 0.0 μB/cell

Geometry as CIF:
```
data_PrTh2ReN5
_cell_length_a 6.8197
_cell_length_b 6.8197
_cell_length_c 11.7598
_cell_angle_alpha 90.00
_cell_angle_beta 90.00
_cell_angle_gamma 90.00
_space_group_name_H-M_alt 'I 4/m c m'
_space_group_IT_number 140
_space_group_name_Hall '-I 4 2c'
loop_
_atom_site_label
_atom_site_type_symbol
_atom_site_fract_x
_atom_site_fract_y
_atom_site_fract_z
Pr1 Pr 0.0000 0.0000 0.2500
Th1 Th 0.1775 0.3225 0.0000
Re1 Re 0.0000 0.5000 0.2500
N1 N 0.0000 0.0000 0.0000
N2 N 0.1463 0.3537 0.3601
```

***

This record from Alexandria describes AcPrSe after structural relaxation. The functional is PBE.

## Properties
* energy relative to the elements, uncorrected: -1080 meV/atom
* size of the total moment: 1.4 μB/cell
* relative energy among the computed polymorphs: 0.0000 eV/atom

Geometry as CIF:
```
data_AcPrSe
_cell_length_a 4.1903
_cell_length_b 4.1903
_cell_length_c 7.0664
_cell_angle_alpha 90.00
_cell_angle_beta 90.00
_cell_angle_gamma 120.00
_space_group_name_H-M_alt 'P 3 m 1'
_space_group_IT_number 156
loop_
_space_group_symop_operation_xyz
'x,y,z'
'-y,x-y,z'
'-x+y,-x,z'
'-y,-x,z'
'-x+y,y,z'
'x,x-y,z'
loop_
_atom_site_label
_atom_site_type_symbol
_atom_site_fract_x
_atom_site_fract_y
_atom_site_fract_z
Ac1 Ac 0.0000 0.0000 0.0000
Pr1 Pr 0.6667 0.3333 0.4550
Se1 Se 0.3333 0.6667 0.7103
```

***

This record from Alexandria describes Mg4MoCl after structural relaxation. The functional is PBE.

## Properties
* energy relative to the elements, uncorrected: 541 meV/atom
* size of the total moment: 13.4 μB/cell

Geometry as CIF:
```
data_Mg4MoCl
_cell_length_a 8.1958
_cell_length_b 8.1958
_cell_length_c 8.1958
_cell_angle_alpha 90.00
_cell_angle_beta 90.00
_cell_angle_gamma 90.00
_space_group_name_H-M_alt 'F -4 3 m'
_space_group_IT_number 216
_space_group_name_Hall 'F -4 2 3'
loop_
_atom_site_label
_atom_site_type_symbol
_atom_site_fract_x
_atom_site_fract_y
_atom_site_fract_z
Mg1 Mg 0.1235 0.1235 0.1235
Mo1 Mo 0.2500 0.2500 0.7500
Cl1 Cl 0.0000 0.0000 0.5000
```

***

This record from Alexandria describes RbHgO2 after structural relaxation. The functional is PBE.

## Properties
* energy relative to the elements, uncorrected: -488 meV/atom
* size of the total moment: 0.0 μB/cell

Geometry as CIF:
```
data_RbHgO2
_cell_length_a 6.6589
_cell_length_b 6.6589
_cell_length_c 7.2295
_cell_angle_alpha 90.00
_cell_angle_beta 90.00
_cell_angle_gamma 90.00
_space_group_name_H-M_alt 'I -4 2 d'
_space_group_IT_number 122
_space_group_name_Hall 'I -4 2bw'
loop_
_atom_site_label
_atom_site_type_symbol
_atom_site_fract_x
_atom_site_fract_y
_atom_site_fract_z
Rb1 Rb 0.0000 0.0000 0.0000
Hg1 Hg 0.0000 0.0000 0.5000
O1 O 0.1645 0.7500 0.6250
```

***

This record from Alexandria describes Ho5Er2Mg5 after structural relaxation. The functional is PBE.

## Properties
* size of the total moment: 0.0 μB/cell

Geometry as CIF:
```
data_Ho5Er2Mg5
_cell_length_a 12.0538
_cell_length_b 5.2494
_cell_length_c 11.2552
_cell_angle_alpha 90.00
_cell_angle_beta 110.12
_cell_angle_gamma 90.00
_space_group_name_H-M_alt 'C 1 2/m 1'
_space_group_IT_number 12
loop_
_space_group_symop_operation_xyz
'x,y,z'
'-x,-y,-z'
'-x,y,-z'
'x,-y,z'
'x+1/2,y+1/2,z'
'-x+1/2,-y+1/2,-z'
'-x+1/2,y+1/2,-z'
'x+1/2,-y+1/2,z'
loop_
_atom_site_label
_atom_site_type_symbol
_atom_site_fract_x
_atom_site_fract_y
_atom_site_fract_z
Ho1 Ho 0.0000 0.0000 0.0000
Ho2 Ho 0.1041 0.0000 0.7540
Ho3 Ho 0.1582 0.0000 0.4825
Er1 Er 0.0892 0.5000 0.2418
Mg1 Mg 0.0000 0.5000 0.5000
Mg2 Mg 0.1727 0.5000 0.9772
Mg3 Mg 0.2442 0.5000 0.7405
```

***

This record from Alexandria describes OsPtN2 after structural relaxation. The functional is PBE.

## Properties
* energy relative to the elements, uncorrected: 746 meV/atom
* size of the total moment: 0.0 μB/cell
* relative energy among the computed polymorphs: 0.2553 eV/atom

Geometry as CIF:
```
data_OsPtN2
_cell_length_a 4.8171
_cell_length_b 4.8171
_cell_length_c 8.9202
_cell_angle_alpha 90.00
_cell_angle_beta 90.00
_cell_angle_gamma 90.00
_space_group_name_H-M_alt 'I -4 2 d'
_space_group_IT_number 122
_space_group_name_Hall 'I -4 2bw'
loop_
_atom_site_label
_atom_site_type_symbol
_atom_site_fract_x
_atom_site_fract_y
_atom_site_fract_z
Os1 Os 0.0000 0.0000 0.0000
Pt1 Pt 0.0000 0.0000 0.5000
N1 N 0.2116 0.2500 0.1250
```

***

This record from Alexandria describes Pm8GeIr3Cl4 after structural relaxation. The functional is PBE.

## Properties
* energy relative to the elements, uncorrected: -1172 meV/atom
* size of the total moment: 0.0 μB/cell

Geometry as CIF:
```
data_Pm8GeIr3Cl4
_cell_length_a 8.3290
_cell_length_b 8.3290
_cell_length_c 22.0751
_cell_angle_alpha 90.00
_cell_angle_beta 90.00
_cell_angle_gamma 120.00
_space_group_name_H-M_alt 'R -3 m'
_space_group_IT_number 166
_space_group_name_Hall '-R 3 2"'
loop_
_atom_site_label
_atom_site_type_symbol
_atom_site_fract_x
_atom_site_fract_y
_atom_site_fract_z
Pm1 Pm 0.0000 0.0000 0.2357
Pm2 Pm 0.0126 0.5063 0.7643
Ge1 Ge 0.0000 0.0000 0.5000
Ir1 Ir 0.0000 0.5000 0.5000
Cl1 Cl 0.0000 0.0000 0.0000
Cl2 Cl 0.0000 0.5000 0.0000
```

***

This record from Alexandria describes Na2GeAu after structural relaxation. The functional is PBE.

## Properties
* size of the total moment: 0.0 μB/cell

Geometry as CIF:
```
data_Na2GeAu
_cell_length_a 9.0130
_cell_length_b 7.6684
_cell_length_c 5.2699
_cell_angle_alpha 90.00
_cell_angle_beta 90.00
_cell_angle_gamma 90.00
_space_group_name_H-M_alt 'C m c m'
_space_group_IT_number 63
_space_group_name_Hall '-C 2c 2'
loop_
_atom_site_label
_atom_site_type_symbol
_atom_site_fract_x
_atom_site_fract_y
_atom_site_fract_z
Na1 Na 0.1807 0.1485 0.2500
Ge1 Ge 0.0000 0.5000 0.0000
Au1 Au 0.0000 0.1833 0.7500
```

***

| no. | final energy (hartree per atom) |
| --- | --- |
| 1 | -0.341 |
| 2 | -0.191 |
| 3 | -0.097 |
| 4 | -0.121 |
| 5 | -0.122 |
| 6 | -0.284 |
| 7 | -0.219 |
| 8 | -0.103 |